Entry i
This record from Alexandria via LeMat-Bulk describes a relaxed structure of Cs2BeC2. The functional is GGA-PBE.

abc: 9.7774 9.7774 4.5837
angles: 90.00 90.00 90.00
Last column: nearest neighbours and their distance in Å.
Fractional positions:
Cs: 0.1587 0.3413 0.0000  4 C 3.24
Cs: 0.3413 0.8413 0.0000  4 C 3.24
Cs: 0.6587 0.1587 0.0000  4 C 3.24
Cs: 0.8413 0.6587 0.0000  4 C 3.24
Be: 0.0000 0.0000 0.0000  4 Cs 3.68
Be: 0.5000 0.5000 0.0000  4 Cs 3.68
C: 0.0460 0.5460 0.5000  1 C 1.27
C: 0.4540 0.0460 0.5000  1 C 1.27
C: 0.5460 0.9540 0.5000  1 C 1.27
C: 0.9540 0.4540 0.5000  1 C 1.27

Density of states at the Fermi level (states/eV per cell): 0.000

Entry ii
This record from Alexandria via LeMat-Bulk describes a relaxed structure of Cs2BeC2. The functional is GGA-PBE.

abc: 11.3805 11.3805 11.3805
angles: 163.93 163.93 22.81
Last column: nearest neighbours and their distance in Å.
Fractional positions:
Cs: 0.1293 0.1293 0.0000  4 C 3.13, 4 Cs 3.18
Cs: 0.8707 0.8707 0.0000  4 C 3.13, 4 Cs 3.18
Be: 0.5000 0.5000 0.0000  4 Be 3.18
C: 0.2500 0.7500 0.5000  4 C 2.25
C: 0.7500 0.2500 0.5000  4 C 2.25

Density of states at the Fermi level (states/eV per cell): 3.787

Here are the energies relative to the best structure, in meV/atom: entry i 0; entry ii 1334.

Entry i
This record from Alexandria via LeMat-Bulk describes a relaxed structure of BeC2F. The functional is GGA-PBE.

abc: 3.6133 3.6133 3.6133
angles: 60.00 60.00 60.00
Last column: nearest neighbours and their distance in Å.
Fractional positions:
Be: 0.0000 0.0000 0.0000  8 C 2.21
C: 0.2500 0.2500 0.2500  4 F 2.21, 4 Be 2.21
C: 0.7500 0.7500 0.7500  4 F 2.21, 4 Be 2.21
F: 0.5000 0.5000 0.5000  8 C 2.21

Density of states at the Fermi level (states/eV per cell): 3.329

Entry ii
This record from Alexandria via LeMat-Bulk describes a relaxed structure of BeC2F. The functional is GGA-PBE.

abc: 5.5290 5.5290 5.5290
angles: 135.89 135.89 64.15
Last column: nearest neighbours and their distance in Å.
Fractional positions:
Be: 0.0000 0.0000 0.0000  4 C 1.70
Be: 0.7500 0.2500 0.5000  4 C 1.70
C: 0.0329 0.6250 0.9079  2 Be 1.70
C: 0.3750 0.2829 0.4079  2 Be 1.70
C: 0.7171 0.1250 0.0921  2 Be 1.70
C: 0.8750 0.9671 0.5921  2 Be 1.70
F: 0.2500 0.7500 0.5000  4 C 2.11
F: 0.5000 0.5000 0.0000  4 C 2.11

Density of states at the Fermi level (states/eV per cell): 4.606

Here are the energies relative to the best structure, in meV/atom: entry i 638; entry ii 0.

Entry i
This record from Alexandria via LeMat-Bulk describes a relaxed structure of BeCF3. The functional is GGA-PBE.

abc: 3.8097 3.8097 3.8097
angles: 90.00 90.00 90.00
Last column: nearest neighbours and their distance in Å.
Fractional positions:
Be: 0.0000 0.0000 0.0000  12 F 2.69
C: 0.5000 0.5000 0.5000  6 F 1.90
F: 0.0000 0.5000 0.5000  2 C 1.90
F: 0.5000 0.0000 0.5000  2 C 1.90
F: 0.5000 0.5000 0.0000  2 C 1.90

Density of states at the Fermi level (states/eV per cell): 1.802

Entry ii
This record from Alexandria via LeMat-Bulk describes a relaxed structure of BeCF3. The functional is GGA-PBE.

abc: 3.5198 3.5198 3.5198
angles: 90.00 90.00 90.00
Last column: nearest neighbours and their distance in Å.
Fractional positions:
Be: 0.0000 0.0000 0.0000  6 F 1.76
C: 0.5000 0.5000 0.5000  12 F 2.49
F: 0.0000 0.0000 0.5000  2 Be 1.76
F: 0.0000 0.5000 0.0000  2 Be 1.76
F: 0.5000 0.0000 0.0000  2 Be 1.76

Density of states at the Fermi level (states/eV per cell): 1.734

Here are the energies relative to the best structure, in meV/atom: entry i 1004; entry ii 0.

Entry i
This record from Alexandria via LeMat-Bulk describes a relaxed structure of BeC3F. The functional is GGA-PBE.

abc: 3.5814 3.5814 3.5814
angles: 90.00 90.00 90.00
Last column: nearest neighbours and their distance in Å.
Fractional positions:
Be: 0.0000 0.0000 0.0000  6 C 1.79
C: 0.0000 0.0000 0.5000  2 Be 1.79
C: 0.0000 0.5000 0.0000  2 Be 1.79
C: 0.5000 0.0000 0.0000  2 Be 1.79
F: 0.5000 0.5000 0.5000  12 C 2.53

Density of states at the Fermi level (states/eV per cell): 3.588

Entry ii
This record from Alexandria via LeMat-Bulk describes a relaxed structure of BeC3F. The functional is GGA-PBE.

abc: 3.6815 3.6815 3.6815
angles: 90.00 90.00 90.00
Last column: nearest neighbours and their distance in Å.
Fractional positions:
Be: 0.0000 0.0000 0.0000  12 C 2.60
C: 0.0000 0.5000 0.5000  2 F 1.84
C: 0.5000 0.0000 0.5000  2 F 1.84
C: 0.5000 0.5000 0.0000  2 F 1.84
F: 0.5000 0.5000 0.5000  6 C 1.84

Density of states at the Fermi level (states/eV per cell): 2.422

Here are the energies relative to the best structure, in meV/atom: entry i 0; entry ii 815.

Entry i
This record from Alexandria via LeMat-Bulk describes a relaxed structure of BeCN2F. The functional is GGA-PBE.

abc: 3.6055 3.6055 3.2179
angles: 90.00 90.00 90.00
Last column: nearest neighbours and their distance in Å.
Fractional positions:
Be: 0.0000 0.0000 0.0000  2 F 1.61
C: 0.5000 0.5000 0.5000  8 N 2.42, 4 F 2.55
N: 0.0000 0.5000 0.0000  2 Be 1.80
N: 0.5000 0.0000 0.0000  2 Be 1.80
F: 0.0000 0.0000 0.5000  2 Be 1.61

Density of states at the Fermi level (states/eV per cell): 3.517

Entry ii
This record from Alexandria via LeMat-Bulk describes a relaxed structure of BeCN2F. The functional is GGA-PBE.

abc: 2.9274 2.9274 5.5034
angles: 90.00 90.00 90.00
Last column: nearest neighbours and their distance in Å.
Fractional positions:
Be: 0.0000 0.0000 0.0000  4 F 2.07
C: 0.5000 0.5000 0.5000  4 N 1.46
N: 0.0000 0.5000 0.5000  2 C 1.46
N: 0.5000 0.0000 0.5000  2 C 1.46
F: 0.5000 0.5000 0.0000  4 Be 2.07

Density of states at the Fermi level (states/eV per cell): 2.202

Here are the energies relative to the best structure, in meV/atom: entry i 495; entry ii 0.

Entry i
This record from Alexandria via LeMat-Bulk describes a relaxed structure of BeFe2GeC. The functional is GGA-PBE.

abc: 3.8039 3.8039 3.4580
angles: 90.00 90.00 90.00
Last column: nearest neighbours and their distance in Å.
Fractional positions:
Be: 0.0000 0.0000 0.0000  2 C 1.73
Fe: 0.0000 0.5000 0.5000  2 C 1.90
Fe: 0.5000 0.0000 0.5000  2 C 1.90
Ge: 0.5000 0.5000 0.0000  8 Fe 2.57, 4 Be 2.69
C: 0.0000 0.0000 0.5000  2 Be 1.73, 4 Fe 1.90

Density of states at the Fermi level (states/eV per cell): 3.374

Entry ii
This record from Alexandria via LeMat-Bulk describes a relaxed structure of BeFe2GeC. The functional is GGA-PBE.

abc: 4.0126 4.0126 3.9550
angles: 90.00 90.00 90.00
Last column: nearest neighbours and their distance in Å.
Fractional positions:
Be: 0.0000 0.0000 0.0000  2 Ge 1.98, 4 Fe 2.01
Fe: 0.0000 0.5000 0.0000  2 Be 2.01
Fe: 0.5000 0.0000 0.0000  2 Be 2.01
Ge: 0.0000 0.0000 0.5000  2 Be 1.98
C: 0.5000 0.5000 0.5000  8 Fe 2.82, 4 Ge 2.84

Density of states at the Fermi level (states/eV per cell): 4.080

Here are the energies relative to the best structure, in meV/atom: entry i 0; entry ii 1506.

Entry i
This record from Alexandria via LeMat-Bulk describes a relaxed structure of BeGa2C. The functional is GGA-PBE.

abc: 5.5854 5.5854 5.5854
angles: 121.30 121.30 87.76
Last column: nearest neighbours and their distance in Å.
Fractional positions:
Be: 0.0000 0.0000 0.0000  4 Ga 2.42
Be: 0.7500 0.2500 0.5000  4 Ga 2.42
Ga: 0.1903 0.6250 0.0653  2 C 1.98
Ga: 0.3750 0.4403 0.5653  2 C 1.98
Ga: 0.5597 0.1250 0.9347  2 C 1.98
Ga: 0.8750 0.8097 0.4347  2 C 1.98
C: 0.2500 0.7500 0.5000  4 Ga 1.98
C: 0.5000 0.5000 0.0000  4 Ga 1.98

Density of states at the Fermi level (states/eV per cell): 0.327

Entry ii
This record from Alexandria via LeMat-Bulk describes a relaxed structure of BeGa2C. The functional is GGA-PBE.

abc: 4.1631 4.1631 4.1631
angles: 60.00 60.00 60.00
Last column: nearest neighbours and their distance in Å.
Fractional positions:
Be: 0.0000 0.0000 0.0000  8 Ga 2.55
Ga: 0.2500 0.2500 0.2500  4 C 2.55, 4 Be 2.55
Ga: 0.7500 0.7500 0.7500  4 C 2.55, 4 Be 2.55
C: 0.5000 0.5000 0.5000  8 Ga 2.55

Density of states at the Fermi level (states/eV per cell): 2.720

Here are the energies relative to the best structure, in meV/atom: entry i 0; entry ii 566.

Entry i
This record from Alexandria via LeMat-Bulk describes a relaxed structure of Y2BeGaC. The functional is GGA-PBE.

abc: 6.5270 3.6272 8.3355
angles: 90.00 108.99 90.00
Last column: nearest neighbours and their distance in Å.
Fractional positions:
Y: 0.2012 0.2500 0.3813  2 C 2.49
Y: 0.2134 0.2500 0.9699  3 C 2.43-2.54
Y: 0.7866 0.7500 0.0301  3 C 2.43-2.54
Y: 0.7988 0.7500 0.6187  2 C 2.49
Be: 0.4470 0.7500 0.2441  1 C 1.67
Be: 0.5530 0.2500 0.7559  1 C 1.67
Ga: 0.3109 0.7500 0.6981  2 Be 2.35
Ga: 0.6891 0.2500 0.3019  2 Be 2.35
C: 0.1763 0.7500 0.1711  1 Be 1.67
C: 0.8237 0.2500 0.8289  1 Be 1.67

Density of states at the Fermi level (states/eV per cell): 4.989

Entry ii
This record from Alexandria via LeMat-Bulk describes a relaxed structure of Y2BeGaC. The functional is GGA-PBE.

abc: 5.0695 5.0695 3.4963
angles: 90.00 90.00 90.00
Last column: nearest neighbours and their distance in Å.
Fractional positions:
Y: 0.0000 0.5000 0.0000  2 C 2.53
Y: 0.5000 0.0000 0.0000  2 C 2.53
Be: 0.0000 0.0000 0.5000  2 C 1.75
Ga: 0.5000 0.5000 0.5000  8 Y 3.08
C: 0.0000 0.0000 0.0000  2 Be 1.75

Density of states at the Fermi level (states/eV per cell): 4.090

Here are the energies relative to the best structure, in meV/atom: entry i 0; entry ii 41.

Entry i
This record from Alexandria via LeMat-Bulk describes a relaxed structure of BeGeC. The functional is GGA-PBE.

abc: 3.1976 3.2535 4.5617
angles: 69.61 72.62 89.40
Last column: nearest neighbours and their distance in Å.
Fractional positions:
Be: 0.0000 0.0000 0.0000  2 C 1.72-1.73
Ge: 0.2968 0.2900 0.4276  2 C 1.96
C: 0.4346 0.9197 0.1585  2 Be 1.72-1.73

Density of states at the Fermi level (states/eV per cell): 0.358

Entry ii
This record from Alexandria via LeMat-Bulk describes a relaxed structure of BeGeC. The functional is GGA-PBE.

abc: 3.0351 3.0363 4.1255
angles: 89.71 89.83 60.11
Last column: nearest neighbours and their distance in Å.
Fractional positions:
Be: 0.0000 0.0000 0.0000  3 C 1.87
Ge: 0.6674 0.6707 0.5513  3 C 2.12
C: 0.3335 0.3352 0.8413  3 Be 1.87

Density of states at the Fermi level (states/eV per cell): 0.248

Here are the energies relative to the best structure, in meV/atom: entry i 0; entry ii 43.

Entry i
This record from Alexandria via LeMat-Bulk describes a relaxed structure of BeGeC. The functional is GGA-PBE.

abc: 3.2462 3.2462 4.9894
angles: 109.12 109.12 60.01
Last column: nearest neighbours and their distance in Å.
Fractional positions:
Be: 0.0000 0.0000 0.0000  1 C 1.65
Ge: 0.8344 0.8344 0.5045  3 C 1.99-2.00
C: 0.1179 0.1179 0.3563  1 Be 1.65

Density of states at the Fermi level (states/eV per cell): 0.108

Entry ii
This record from Alexandria via LeMat-Bulk describes a relaxed structure of BeGeC. The functional is GGA-PBE.

abc: 2.6433 4.4602 3.2096
angles: 90.00 113.87 90.00
Last column: nearest neighbours and their distance in Å.
Fractional positions:
Be: 0.0000 0.0000 0.0000  3 C 1.73-1.79
Ge: 0.7156 0.5000 0.4391  2 C 2.23
C: 0.7030 0.0000 0.4116  3 Be 1.73-1.79

Density of states at the Fermi level (states/eV per cell): 1.021

Here are the energies relative to the best structure, in meV/atom: entry i 0; entry ii 47.

Entry i
This record from Alexandria via LeMat-Bulk describes a relaxed structure of BeGeC2. The functional is GGA-PBE.

abc: 3.7565 3.7565 3.7565
angles: 60.00 60.00 60.00
Last column: nearest neighbours and their distance in Å.
Fractional positions:
Be: 0.0000 0.0000 0.0000  8 C 2.30
Ge: 0.5000 0.5000 0.5000  8 C 2.30
C: 0.2500 0.2500 0.2500  4 Ge 2.30, 4 Be 2.30
C: 0.7500 0.7500 0.7500  4 Ge 2.30, 4 Be 2.30

Density of states at the Fermi level (states/eV per cell): 2.021

Entry ii
This record from Alexandria via LeMat-Bulk describes a relaxed structure of BeGeC2. The functional is GGA-PBE.

abc: 5.7945 5.7945 5.7945
angles: 139.36 139.36 58.82
Last column: nearest neighbours and their distance in Å.
Fractional positions:
Be: 0.0000 0.0000 0.0000  4 C 1.83
Be: 0.7500 0.2500 0.5000  4 C 1.83
Ge: 0.2500 0.7500 0.5000  4 C 1.98
Ge: 0.5000 0.5000 0.0000  4 C 1.98
C: 0.0902 0.6250 0.9652  2 Be 1.83, 2 Ge 1.98
C: 0.3750 0.3402 0.4652  2 Be 1.83, 2 Ge 1.98
C: 0.6598 0.1250 0.0348  2 Be 1.83, 2 Ge 1.98
C: 0.8750 0.9098 0.5348  2 Be 1.83, 2 Ge 1.98

Density of states at the Fermi level (states/eV per cell): 2.461

Here are the energies relative to the best structure, in meV/atom: entry i 1065; entry ii 0.

Entry i
This record from Alexandria via LeMat-Bulk describes a relaxed structure of BeGeC3. The functional is GGA-PBE.

abc: 3.6621 3.6621 3.6621
angles: 90.00 90.00 90.00
Last column: nearest neighbours and their distance in Å.
Fractional positions:
Be: 0.0000 0.0000 0.0000  6 C 1.83
Ge: 0.5000 0.5000 0.5000  12 C 2.59
C: 0.0000 0.0000 0.5000  2 Be 1.83
C: 0.0000 0.5000 0.0000  2 Be 1.83
C: 0.5000 0.0000 0.0000  2 Be 1.83

Density of states at the Fermi level (states/eV per cell): 1.548

Entry ii
This record from Alexandria via LeMat-Bulk describes a relaxed structure of BeGeC3. The functional is GGA-PBE.

abc: 3.9225 3.9225 3.9225
angles: 90.00 90.00 90.00
Last column: nearest neighbours and their distance in Å.
Fractional positions:
Be: 0.0000 0.0000 0.0000  12 C 2.77
Ge: 0.5000 0.5000 0.5000  6 C 1.96
C: 0.0000 0.5000 0.5000  2 Ge 1.96
C: 0.5000 0.0000 0.5000  2 Ge 1.96
C: 0.5000 0.5000 0.0000  2 Ge 1.96

Density of states at the Fermi level (states/eV per cell): 2.924

Here are the energies relative to the best structure, in meV/atom: entry i 0; entry ii 504.

Entry i
This record from Alexandria via LeMat-Bulk describes a relaxed structure of Be2GeC. The functional is GGA-PBE.

abc: 3.9284 3.9284 3.9284
angles: 60.00 60.00 60.00
Last column: nearest neighbours and their distance in Å.
Fractional positions:
Be: 0.2500 0.2500 0.2500  4 C 2.41, 4 Ge 2.41
Be: 0.7500 0.7500 0.7500  4 C 2.41, 4 Ge 2.41
Ge: 0.0000 0.0000 0.0000  8 Be 2.41
C: 0.5000 0.5000 0.5000  8 Be 2.41

Density of states at the Fermi level (states/eV per cell): 1.730

Entry ii
This record from Alexandria via LeMat-Bulk describes a relaxed structure of Be2GeC. The functional is GGA-PBE.

abc: 5.2968 5.2968 5.2968
angles: 120.31 120.31 89.46
Last column: nearest neighbours and their distance in Å.
Fractional positions:
Be: 0.3750 0.1820 0.3070  2 C 1.65
Be: 0.8180 0.1250 0.1930  2 C 1.65
Be: 0.8750 0.0680 0.6930  2 C 1.65
Be: 0.9320 0.6250 0.8070  2 C 1.65
Ge: 0.2500 0.7500 0.5000  8 Be 2.84-3.13
Ge: 0.5000 0.5000 0.0000  8 Be 2.84-3.13
C: 0.0000 0.0000 0.0000  4 Be 1.65
C: 0.7500 0.2500 0.5000  4 Be 1.65

Density of states at the Fermi level (states/eV per cell): 1.656

Here are the energies relative to the best structure, in meV/atom: entry i 846; entry ii 0.